Record 1
! Sr4CN4 | Alexandria | SCAN | PBEsol geometry; values from VASP
&SYSTEM
  ibrav = 0, nat = 36, ntyp = 3
/
ATOMIC_SPECIES
C 12.01 C.upf
Sr 87.62 Sr.upf
N 14.01 N.upf
ATOMIC_POSITIONS crystal
C 0.750 0.852 0.597
C 0.250 0.148 0.403
C 0.250 0.648 0.097
C 0.750 0.352 0.903
Sr 0.250 0.113 0.598
Sr 0.250 0.842 0.761
Sr 0.750 0.658 0.261
Sr 0.250 0.342 0.739
Sr 0.250 0.625 0.468
Sr 0.750 0.375 0.532
Sr 0.750 0.875 0.968
Sr 0.750 0.887 0.402
Sr 0.750 0.387 0.098
Sr 0.250 0.613 0.902
Sr 0.750 0.596 0.685
Sr 0.750 0.158 0.239
Sr 0.250 0.125 0.032
Sr 0.250 0.404 0.315
Sr 0.750 0.096 0.815
Sr 0.250 0.904 0.185
N 0.250 0.279 0.170
N 0.250 0.987 0.880
N 0.750 0.013 0.120
N 0.250 0.553 0.132
N 0.750 0.760 0.561
N 0.250 0.779 0.330
N 0.750 0.260 0.939
N 0.750 0.721 0.830
N 0.750 0.513 0.380
N 0.250 0.487 0.620
N 0.750 0.947 0.632
N 0.750 0.447 0.868
N 0.250 0.053 0.368
N 0.250 0.240 0.439
N 0.250 0.740 0.061
N 0.750 0.221 0.670
CELL_PARAMETERS angstrom
-0.283 -2.273 3.011
-8.027 -6.913 -5.972
10.722 -8.062 -5.079
! Formation energy (no corrections) = -863 meV/atom
! Magnetic moment = 0.0 μB/f.u.
! Space group = Pnma (62)


Record 2
! SrTeCN2 | Alexandria | SCAN | PBEsol geometry; values from VASP
&SYSTEM
  ibrav = 0, nat = 5, ntyp = 4
/
ATOMIC_SPECIES
C 12.01 C.upf
N 14.01 N.upf
Sr 87.62 Sr.upf
Te 127.60 Te.upf
ATOMIC_POSITIONS crystal
C 0.500 0.500 0.500
N 0.500 0.000 0.000
N 0.000 0.500 0.000
Sr 0.000 0.000 0.000
Te 0.000 0.000 0.500
CELL_PARAMETERS angstrom
4.618 0.000 0.000
0.000 4.618 0.000
0.000 0.000 6.645
! Formation energy (no corrections) = 2540 meV/atom
! Magnetic moment = 5.5 μB/f.u.
! Space group = P4/mmm (123)


Record 3
! ZrTaCN | Alexandria | SCAN | PBEsol geometry; values from VASP
&SYSTEM
  ibrav = 0, nat = 4, ntyp = 4
/
ATOMIC_SPECIES
C 12.01 C.upf
Zr 91.22 Zr.upf
N 14.01 N.upf
Ta 180.95 Ta.upf
ATOMIC_POSITIONS crystal
C 0.995 0.995 0.014
Zr 0.748 0.748 0.757
N 0.504 0.504 0.488
Ta 0.253 0.253 0.241
CELL_PARAMETERS angstrom
-0.060 3.129 -0.561
-1.307 1.971 2.125
4.177 2.214 2.893
! Formation energy (no corrections) = -1206 meV/atom
! Magnetic moment = 0.0 μB/f.u.
! Space group = R3m (160)


Record 4
! Tc2CN | Alexandria | SCAN | PBEsol geometry; values from VASP
&SYSTEM
  ibrav = 0, nat = 8, ntyp = 3
/
ATOMIC_SPECIES
Tc 98.00 Tc.upf
N 14.01 N.upf
C 12.01 C.upf
ATOMIC_POSITIONS crystal
Tc 0.625 0.630 0.750
Tc 0.370 0.875 0.250
Tc 0.125 0.120 0.750
Tc 0.880 0.375 0.250
N 0.000 0.000 0.000
N 0.250 0.750 0.500
C 0.750 0.250 0.500
C 0.500 0.500 0.000
CELL_PARAMETERS angstrom
4.520 0.000 0.000
0.000 4.520 0.000
-2.260 -2.260 4.578
! Formation energy (no corrections) = 214 meV/atom
! Magnetic moment = 1.0 μB/f.u.
! Space group = I-42d (122)


Record 5
! Tc2CN | Alexandria | SCAN | PBEsol geometry; values from VASP
&SYSTEM
  ibrav = 0, nat = 4, ntyp = 3
/
ATOMIC_SPECIES
Tc 98.00 Tc.upf
C 12.01 C.upf
N 14.01 N.upf
ATOMIC_POSITIONS crystal
Tc 0.250 0.250 0.250
Tc 0.750 0.750 0.750
C 0.000 0.000 0.000
N 0.500 0.500 0.500
CELL_PARAMETERS angstrom
-2.169 2.123 -2.169
-3.468 -1.103 -0.820
-2.924 1.792 1.469
! Formation energy (no corrections) = 814 meV/atom
! Magnetic moment = 0.0 μB/f.u.
! Space group = Fm-3m (225)


Record 6
! Te2WCN | Alexandria | SCAN | PBEsol geometry; values from VASP
&SYSTEM
  ibrav = 0, nat = 5, ntyp = 4
/
ATOMIC_SPECIES
Te 127.60 Te.upf
W 183.84 W.upf
C 12.01 C.upf
N 14.01 N.upf
ATOMIC_POSITIONS crystal
Te 0.000 0.500 0.000
Te 0.000 0.000 0.500
W 0.000 0.000 0.000
C 0.500 0.500 0.500
N 0.500 0.000 0.000
CELL_PARAMETERS angstrom
-1.699 3.205 1.008
-4.403 -2.682 1.104
1.658 -0.681 4.958
! Formation energy (no corrections) = 1558 meV/atom
! Magnetic moment = 1.0 μB/f.u.
! Space group = P4/mmm (123)


Record 7
! Th2CN | Alexandria | SCAN | PBEsol geometry; values from VASP
&SYSTEM
  ibrav = 0, nat = 4, ntyp = 3
/
ATOMIC_SPECIES
Th 232.04 Th.upf
C 12.01 C.upf
N 14.01 N.upf
ATOMIC_POSITIONS crystal
Th 0.249 0.249 0.249
Th 0.751 0.751 0.751
C 0.000 0.000 0.000
N 0.500 0.500 0.500
CELL_PARAMETERS angstrom
6.384 -0.004 -0.003
5.307 3.548 -0.003
5.307 1.609 3.162
! Formation energy (no corrections) = -1035 meV/atom
! Magnetic moment = 0.0 μB/f.u.
! Space group = R-3m (166)


Record 8
! Ti2C3N6 | Alexandria | SCAN | PBEsol geometry; values from VASP
&SYSTEM
  ibrav = 0, nat = 22, ntyp = 3
/
ATOMIC_SPECIES
Ti 47.87 Ti.upf
C 12.01 C.upf
N 14.01 N.upf
ATOMIC_POSITIONS crystal
Ti 0.667 0.667 0.999
Ti 0.833 0.833 0.501
Ti 0.333 0.333 0.001
Ti 0.167 0.167 0.499
C 0.933 0.567 0.250
C 0.250 0.933 0.250
C 0.567 0.250 0.250
C 0.750 0.067 0.750
C 0.433 0.750 0.750
C 0.067 0.433 0.750
N 0.049 0.424 0.874
N 0.424 0.653 0.874
N 0.451 0.847 0.626
N 0.924 0.549 0.374
N 0.549 0.153 0.374
N 0.153 0.924 0.374
N 0.347 0.951 0.126
N 0.653 0.049 0.874
N 0.951 0.576 0.126
N 0.847 0.076 0.626
N 0.576 0.347 0.126
N 0.076 0.451 0.626
CELL_PARAMETERS angstrom
5.503 0.000 0.000
2.752 4.766 0.000
2.752 1.589 9.675
! Formation energy (no corrections) = -539 meV/atom
! Magnetic moment = 2.0 μB/f.u.
! Space group = R-3c (167)